No. 1
{"formula": "Dy2Pa2S7", "functional": "PBE", "state": "optimized geometry", "cell": [[-2.9518, -2.3210, -0.9776], [2.4380, -7.5538, 2.8722], [-2.9239, -2.6655, 7.4565]], "species": ["Pa", "Pa", "S", "S", "S", "S", "S", "S", "S", "Dy", "Dy"], "fractional_positions": [[0.2602, 0.3299, 0.1497], [0.7398, 0.8503, 0.6701], [0.5000, 0.0111, 0.9889], [0.6116, 0.4941, 0.2826], [0.3884, 0.7174, 0.5059], [0.8158, 0.0741, 0.2944], [0.1406, 0.1381, 0.5806], [0.8594, 0.4194, 0.8619], [0.1842, 0.7056, 0.9259], [0.5000, 0.3273, 0.6727], [0.0000, 0.7867, 0.2133]], "dft_energy_ev_per_fu": -77.1, "de_polymorph_mev_per_atom": 0, "mass_density_g_cm3": 7.20, "spacegroup": "Imm2, No. 44", "m_tot_mub_per_fu": 1.49}

No. 2
{"formula": "AcTmZnIn", "functional": "PBE", "state": "optimized geometry", "cell": [[5.4491, 0.0000, 0.0000], [2.7246, 4.7191, 0.0000], [2.7246, 1.5730, 4.4492]], "species": ["Ac", "Tm", "Zn", "In"], "fractional_positions": [[0.2500, 0.2500, 0.2500], [0.7500, 0.7500, 0.7500], [0.0000, 0.0000, 0.0000], [0.5000, 0.5000, 0.5000]], "formation_enthalpy_0k_ev_per_fu": -1.20, "dft_energy_ev_per_fu": -13.8, "mass_density_g_cm3": 8.36, "spacegroup": "F-43m, No. 216", "m_tot_mub_per_fu": 0.00}

No. 3
{"formula": "PaHgPb2O8", "functional": "PBE", "state": "optimized geometry", "cell": [[-5.6846, 2.1724, -1.6086], [-0.7892, -6.1409, 1.1352], [2.2628, 2.9993, 5.0504]], "species": ["O", "O", "O", "O", "O", "O", "O", "O", "Pa", "Pb", "Pb", "Hg"], "fractional_positions": [[0.3446, 0.0319, 0.3127], [0.9681, 0.2809, 0.3127], [0.3083, 0.1030, 0.7947], [0.4864, 0.6917, 0.7947], [0.8970, 0.6917, 0.2053], [0.7191, 0.0319, 0.6873], [0.9681, 0.6554, 0.6873], [0.3083, 0.5136, 0.2053], [0.2500, 0.7500, 0.5000], [0.7500, 0.2500, 0.5000], [0.5000, 0.5000, 0.0000], [0.0000, 0.0000, 0.0000]], "dft_energy_ev_per_fu": -71.8, "mass_density_g_cm3": 8.45, "spacegroup": "I-4m2, No. 119", "m_tot_mub_per_fu": 0.00}

No. 4
{"formula": "BeVW3", "functional": "PBE", "state": "optimized geometry", "cell": [[-2.1633, 3.2787, 2.2185], [-2.3399, -3.0982, 2.2971], [3.1931, -0.0492, 3.1863]], "species": ["Be", "W", "W", "W", "V"], "fractional_positions": [[0.5000, 0.5000, 0.5000], [0.0000, 0.5000, 0.0000], [0.0000, 0.0000, 0.5000], [0.5000, 0.0000, 0.0000], [0.0000, 0.0000, 0.0000]], "formation_enthalpy_0k_ev_per_fu": 9.55, "dft_energy_ev_per_fu": -42.1, "de_polymorph_mev_per_atom": 1043, "mass_density_g_cm3": 11.06, "spacegroup": "Pm-3m, No. 221", "m_tot_mub_per_fu": 0.00}

No. 5
{"formula": "UTlCu2Cl8", "functional": "PBE", "state": "optimized geometry", "cell": [[-1.5250, -3.0110, -6.1913], [3.0609, -3.7845, 5.1021], [-8.0778, -2.3260, 3.1208]], "species": ["Cl", "Cl", "Cl", "Cl", "Cl", "Cl", "Cl", "Cl", "U", "Cu", "Cu", "Tl"], "fractional_positions": [[0.6667, 0.3333, 0.5467], [0.6659, 0.8330, 0.8274], [0.3333, 0.6667, 0.4533], [0.1670, 0.3341, 0.8274], [0.3341, 0.1670, 0.1726], [0.8330, 0.6659, 0.1726], [0.1670, 0.8330, 0.8274], [0.8330, 0.1670, 0.1726], [0.0000, 0.0000, 0.0000], [0.3333, 0.6667, 0.6928], [0.6667, 0.3333, 0.3072], [0.0000, 0.0000, 0.5000]], "dft_energy_ev_per_fu": -49.4, "mass_density_g_cm3": 3.67, "spacegroup": "P-3m1, No. 164", "m_tot_mub_per_fu": 0.76}

No. 6
{"formula": "Ta2BeCl", "functional": "PBE", "state": "optimized geometry", "cell": [[5.1872, 0.0027, 0.0000], [2.4862, 4.5525, 0.0000], [-3.8367, -2.2776, 2.6456]], "species": ["Cl", "Ta", "Ta", "Be"], "fractional_positions": [[0.7500, 0.2500, 0.5000], [0.0000, 0.0000, 0.0000], [0.2500, 0.7500, 0.5000], [0.5000, 0.5000, 0.0000]], "dft_energy_ev_per_fu": -26.4, "de_polymorph_mev_per_atom": 614, "mass_density_g_cm3": 10.80, "spacegroup": "I-4m2, No. 119", "m_tot_mub_per_fu": 0.00}

No. 7
{"formula": "ErTl2Ir3O12", "functional": "PBE", "state": "optimized geometry", "cell": [[7.4583, 0.1163, 0.0825], [3.7844, 6.4278, 0.0825], [3.7844, 2.2029, 6.0392]], "species": ["O", "O", "O", "O", "O", "O", "O", "O", "O", "O", "O", "O", "Er", "Ir", "Ir", "Ir", "Tl", "Tl"], "fractional_positions": [[0.9132, 0.9132, 0.3636], [0.6364, 0.0868, 0.0868], [0.6956, 0.0800, 0.6956], [0.0868, 0.0868, 0.6364], [0.3044, 0.9200, 0.3044], [0.3636, 0.9132, 0.9132], [0.9200, 0.3044, 0.3044], [0.6956, 0.6956, 0.0800], [0.3044, 0.3044, 0.9200], [0.9132, 0.3636, 0.9132], [0.0800, 0.6956, 0.6956], [0.0868, 0.6364, 0.0868], [0.0000, 0.0000, 0.0000], [0.5000, 0.0000, 0.0000], [0.0000, 0.0000, 0.5000], [0.0000, 0.5000, 0.0000], [0.6625, 0.6625, 0.6625], [0.3375, 0.3375, 0.3375]], "dft_energy_ev_per_fu": -112.9, "mass_density_g_cm3": 7.86, "spacegroup": "R-3m, No. 166", "m_tot_mub_per_fu": 0.00}

No. 8
{"formula": "Zn2PdN", "functional": "PBE", "state": "optimized geometry", "cell": [[3.0209, 0.0000, 0.0000], [1.5104, 2.6161, 0.0000], [1.5104, 0.8720, 7.2836]], "species": ["Zn", "Zn", "Pd", "N"], "fractional_positions": [[0.8848, 0.8848, 0.3456], [0.1152, 0.1152, 0.6544], [0.0000, 0.0000, 0.0000], [0.5000, 0.5000, 0.5000]], "dft_energy_ev_per_fu": -14.9, "mass_density_g_cm3": 7.25, "spacegroup": "R-3m, No. 166", "m_tot_mub_per_fu": 0.00}

No. 9
{"formula": "ScBiS2", "functional": "PBE", "state": "optimized geometry", "cell": [[3.9698, 0.0000, 0.0000], [0.0000, 3.9698, 0.0000], [0.0000, 0.0000, 5.7397]], "species": ["Sc", "S", "S", "Bi"], "fractional_positions": [[0.0000, 0.0000, 0.5000], [0.5000, 0.5000, 0.5000], [0.0000, 0.0000, 0.0000], [0.5000, 0.5000, 0.0000]], "dft_energy_ev_per_fu": -21.3, "mass_density_g_cm3": 5.84, "spacegroup": "P4/mmm, No. 123", "m_tot_mub_per_fu": 0.00}

No. 10
{"formula": "Na3Pa2O5F2", "functional": "PBE", "state": "optimized geometry", "cell": [[4.3909, 0.0000, 0.0000], [0.0000, 4.3909, 0.0000], [-2.1954, -2.1954, 10.4867]], "species": ["F", "F", "O", "O", "O", "O", "O", "Pa", "Pa", "Na", "Na", "Na"], "fractional_positions": [[0.7129, 0.7129, 0.4259], [0.2871, 0.2871, 0.5741], [0.1113, 0.6113, 0.2226], [0.8887, 0.3887, 0.7774], [0.5000, 0.5000, 0.0000], [0.3887, 0.8887, 0.7774], [0.6113, 0.1113, 0.2226], [0.6044, 0.6044, 0.2088], [0.3956, 0.3956, 0.7912], [0.8176, 0.8176, 0.6352], [0.1824, 0.1824, 0.3648], [0.0000, 0.0000, 0.0000]], "dft_energy_ev_per_fu": -86.9, "mass_density_g_cm3": 5.33, "spacegroup": "I4/mmm, No. 139", "m_tot_mub_per_fu": 0.96}

No. 11
{"formula": "PmHoIrAu", "functional": "PBE", "state": "optimized geometry", "cell": [[5.0220, 0.0000, 0.0000], [2.5110, 4.3492, 0.0000], [2.5110, 1.4497, 4.1004]], "species": ["Ir", "Pm", "Au", "Ho"], "fractional_positions": [[0.5000, 0.5000, 0.5000], [0.2500, 0.2500, 0.2500], [0.0000, 0.0000, 0.0000], [0.7500, 0.7500, 0.7500]], "formation_enthalpy_0k_ev_per_fu": -3.05, "dft_energy_ev_per_fu": -24.5, "de_polymorph_mev_per_atom": 23, "mass_density_g_cm3": 12.96, "spacegroup": "F-43m, No. 216", "m_tot_mub_per_fu": 0.00}

No. 12
{"formula": "YHoAlHg", "functional": "PBE", "state": "optimized geometry", "cell": [[3.6174, 0.0000, 0.0000], [0.0000, 3.6174, 0.0000], [0.0000, 0.0000, 7.4991]], "species": ["Ho", "Al", "Y", "Hg"], "fractional_positions": [[0.0000, 0.0000, 0.3651], [0.5000, 0.5000, 0.6046], [0.0000, 0.0000, 0.8470], [0.5000, 0.5000, 0.1112]], "formation_enthalpy_0k_ev_per_fu": -1.79, "dft_energy_ev_per_fu": -16.9, "de_polymorph_mev_per_atom": 0, "mass_density_g_cm3": 8.15, "spacegroup": "P4mm, No. 99", "m_tot_mub_per_fu": 0.00}